Material: Ca3Ac2Pb2
Method: DFT, PBE-GGA
State: optimized geometry

Properties
The calculation puts the energy of formation at -0.38 eV/atom.

Cell lengths 4.856, 6.871, 9.188 Å; angles 111.18, 90.00, 110.69 degrees
Element x y z (fractional)
Ca1 0.500 0.000 0.000
Ca2 0.625 0.251 0.434
Ca3 0.375 0.749 0.566
Ac1 0.852 0.704 0.194
Ac2 0.148 0.296 0.806
Pb1 0.838 0.677 0.787
Pb2 0.162 0.323 0.213